The following is a GGA+U calculation of Ta2Fe4O9 after structural relaxation, from the Alexandria database.

Cell: 9.2316 5.2850 14.3880 Å, 90.00 90.25 90.00°
Closest atoms and distances in Å follow each position.
Space group C2/c (No. 15)
Asymmetric unit:
Ta  0.0045  0.0109  0.3564 [8 per cell]  5 O 1.92-2.15
Fe  0.1680  0.4879  0.6910 [8 per cell]  5 O 2.04-2.28
Fe  0.1690  0.4980  0.4853 [8 per cell]  6 O 2.09-2.28
O  0.0000  0.2625  0.7500 [4 per cell]  2 Ta 2.11, 2 Fe 2.13
O  0.0072  0.3347  0.0834 [8 per cell]  1 Ta 1.92, 1 Fe 2.09
O  0.1399  0.1628  0.2490 [8 per cell]  2 Fe 2.04-2.12, 2 Ta 2.15-2.17
O  0.1531  0.1729  0.5887 [8 per cell]  1 Ta 1.92
O  0.1714  0.1319  0.9166 [8 per cell]  1 Ta 1.92

Calculated values
calculated total energy	-8.154	eV/atom
spin magnetization	16.00	μB/f.u.